No. 1
Below is a PBEsol-optimized structure of Ba2AlPt, with properties calculated at the meta-GGA SCAN level.

ΔE_f = -0.45 eV/atom

Unit cell a=3.5403 b=3.5403 c=9.5975 alpha=90.00 beta=90.00 gamma=90.00
Last column: nearest neighbours and their distance in Å.
Space group P4mm (No. 99)
Unique sites:
Ba (0.0000, 0.0000, 0.0000) (multiplicity 1)  1 Pt 3.34, 4 Al 3.50, 4 Ba 3.54
Ba (0.5000, 0.5000, 0.4136) (multiplicity 1)  1 Al 3.18, 4 Pt 3.39, 4 Ba 3.54
Al (0.5000, 0.5000, 0.7445) (multiplicity 1)  4 Pt 2.65
Pt (0.0000, 0.0000, 0.6525) (multiplicity 1)  4 Al 2.65



No. 2
Below is a PBEsol-optimized structure of Ba3Al4Pt4, with properties calculated at the meta-GGA SCAN level.

ΔE_f = -1.07 eV/atom

Unit cell a=10.8086 b=8.1533 c=11.6584 alpha=90.00 beta=90.00 gamma=90.00
Last column: nearest neighbours and their distance in Å.
Space group Cmcm (No. 63)
Unique sites:
Ba (0.0000, 0.0394, 0.2500) (multiplicity 4)  6 Pt 3.30-3.70, 4 Al 3.37-3.39
Ba (0.2168, 0.0000, 0.0000) (multiplicity 8)  6 Pt 3.30-3.62, 4 Al 3.46-3.58
Al (0.0000, 0.4108, 0.1226) (multiplicity 8)  4 Pt 2.48-2.53
Al (0.1365, 0.3351, 0.7500) (multiplicity 8)  4 Pt 2.50-2.58
Pt (0.0000, 0.2877, 0.5720) (multiplicity 8)  4 Al 2.48-2.58
Pt (0.1855, 0.3615, 0.2500) (multiplicity 8)  4 Al 2.50-2.53



No. 3
Below is a PBEsol-optimized structure of RbBaAl2, with properties calculated at the meta-GGA SCAN level.

ΔE_f = 0.34 eV/atom

Unit cell a=8.1975 b=8.1975 c=8.1975 alpha=90.00 beta=90.00 gamma=90.00
Last column: nearest neighbours and their distance in Å.
Space group Fm-3m (No. 225)
Unique sites:
Rb (0.0000, 0.0000, 0.0000) (multiplicity 4)  8 Al 3.55
Ba (0.0000, 0.0000, 0.5000) (multiplicity 4)  8 Al 3.55
Al (0.2500, 0.2500, 0.2500) (multiplicity 8)  4 Ba 3.55, 4 Rb 3.55



No. 4
Below is a PBEsol-optimized structure of RbBa2Al2, with properties calculated at the meta-GGA SCAN level.

excess energy over the best structure of this formula in the dataset = 0.000 eV/f.u.
ΔE_f = 0.08 eV/atom

Unit cell a=9.9135 b=9.9135 c=3.7045 alpha=90.00 beta=90.00 gamma=90.00
Last column: nearest neighbours and their distance in Å.
Space group P4/mbm (No. 127)
Unique sites:
Rb (0.0000, 0.0000, 0.0000) (multiplicity 2)  4 Ba 3.64, 2 Rb 3.70
Ba (0.1807, 0.3193, 0.0000) (multiplicity 4)  6 Al 3.47-3.53, 2 Rb 3.64, 2 Ba 3.70
Al (0.1048, 0.6048, 0.5000) (multiplicity 4)  1 Al 2.94



No. 5
Below is a PBEsol-optimized structure of RbBa2Al2, with properties calculated at the meta-GGA SCAN level.

excess energy over the best structure of this formula in the dataset = 0.435 eV/f.u.
ΔE_f = 0.17 eV/atom

Unit cell a=3.9756 b=3.9756 c=27.3816 alpha=90.00 beta=90.00 gamma=90.00
Last column: nearest neighbours and their distance in Å.
Space group I4/mmm (No. 139)
Unique sites:
Rb (0.0000, 0.0000, 0.0000) (multiplicity 2)  4 Rb 3.98
Ba (0.0000, 0.0000, 0.3557) (multiplicity 4)  4 Al 3.51
Al (0.0000, 0.5000, 0.2500) (multiplicity 4)  4 Al 2.81



No. 6
Below is a PBEsol-optimized structure of BaAlRe, with properties calculated at the meta-GGA SCAN level.

ΔE_f = 0.46 eV/atom

Unit cell a=3.4797 b=3.4797 c=11.5643 alpha=90.00 beta=90.00 gamma=90.00
Last column: nearest neighbours and their distance in Å.
Space group I4mm (No. 107)
Unique sites:
Ba (0.0000, 0.0000, 0.0000) (multiplicity 2)  1 Al 3.09, 1 Re 3.29
Al (0.0000, 0.0000, 0.2675) (multiplicity 2)  4 Re 2.53
Re (0.0000, 0.0000, 0.7154) (multiplicity 2)  4 Al 2.53



No. 7
Below is a PBEsol-optimized structure of BaAlRe2, with properties calculated at the meta-GGA SCAN level.

ΔE_f = 1.38 eV/atom

Unit cell a=6.0319 b=9.3592 c=2.9121 alpha=90.00 beta=116.85 gamma=90.00
Last column: nearest neighbours and their distance in Å.
Space group C2/m (No. 12)
Unique sites:
Ba (0.0000, 0.0000, 0.0000) (multiplicity 2)  4 Re 2.81, 2 Ba 2.91, 4 Al 3.02-3.11
Al (0.0000, 0.5000, 0.0000) (multiplicity 2)  4 Re 2.81, 2 Al 2.91, 4 Ba 3.02-3.11
Re (0.2500, 0.2500, 0.5000) (multiplicity 4)  2 Ba 2.81, 2 Al 2.81, 6 Re 2.91-3.11



No. 8
Below is a PBEsol-optimized structure of Ba2AlRe, with properties calculated at the meta-GGA SCAN level.

ΔE_f = 1.04 eV/atom

Unit cell a=3.0869 b=4.6837 c=7.6058 alpha=90.00 beta=90.00 gamma=90.00
Last column: nearest neighbours and their distance in Å.
Space group Pmmm (No. 47)
Unique sites:
Ba (0.0000, 0.0000, 0.2353) (multiplicity 2)  2 Ba 3.09, 4 Re 3.33, 4 Al 3.45
Al (0.5000, 0.5000, 0.5000) (multiplicity 1)  2 Al 3.09, 8 Ba 3.45
Re (0.5000, 0.5000, 0.0000) (multiplicity 1)  2 Re 3.09, 8 Ba 3.33



No. 9
Below is a PBEsol-optimized structure of BaAl3Re, with properties calculated at the meta-GGA SCAN level.

ΔE_f = -0.28 eV/atom

Unit cell a=4.8899 b=4.8899 c=4.8899 alpha=90.00 beta=90.00 gamma=90.00
Last column: nearest neighbours and their distance in Å.
Space group Pm-3m (No. 221)
Unique sites:
Ba (0.0000, 0.0000, 0.0000) (multiplicity 1)  12 Al 3.46
Al (0.0000, 0.5000, 0.5000) (multiplicity 3)  2 Re 2.44
Re (0.5000, 0.5000, 0.5000) (multiplicity 1)  6 Al 2.44



No. 10
Below is a PBEsol-optimized structure of Ba2AlRh, with properties calculated at the meta-GGA SCAN level.

excess energy over the best structure of this formula in the dataset = 0.000 eV/f.u.
ΔE_f = -0.21 eV/atom

Unit cell a=3.5353 b=3.5353 c=9.4757 alpha=90.00 beta=90.00 gamma=90.00
Last column: nearest neighbours and their distance in Å.
Space group P4mm (No. 99)
Unique sites:
Ba (0.0000, 0.0000, 0.0000) (multiplicity 1)  1 Rh 3.11, 4 Al 3.44
Ba (0.5000, 0.5000, 0.4184) (multiplicity 1)  1 Al 3.14, 4 Rh 3.47
Al (0.5000, 0.5000, 0.7499) (multiplicity 1)  4 Rh 2.61
Rh (0.0000, 0.0000, 0.6720) (multiplicity 1)  4 Al 2.61



No. 11
Below is a PBEsol-optimized structure of BaAl3Rh, with properties calculated at the meta-GGA SCAN level.

ΔE_f = -0.58 eV/atom

Unit cell a=4.7859 b=4.7859 c=4.7859 alpha=90.00 beta=90.00 gamma=90.00
Last column: nearest neighbours and their distance in Å.
Space group Pm-3m (No. 221)
Unique sites:
Ba (0.0000, 0.0000, 0.0000) (multiplicity 1)  12 Al 3.38
Al (0.0000, 0.5000, 0.5000) (multiplicity 3)  2 Rh 2.39
Rh (0.5000, 0.5000, 0.5000) (multiplicity 1)  6 Al 2.39



No. 12
Below is a PBEsol-optimized structure of Ba2AlRh, with properties calculated at the meta-GGA SCAN level.

excess energy over the best structure of this formula in the dataset = 1.355 eV/f.u.
ΔE_f = 0.13 eV/atom

Unit cell a=7.3533 b=7.3604 c=4.2167 alpha=90.00 beta=90.00 gamma=90.00
Last column: nearest neighbours and their distance in Å.
Space group Cmmm (No. 65)
Unique sites:
Ba (0.2500, 0.2500, 0.0000) (multiplicity 4)  4 Al 3.35, 4 Rh 3.35, 4 Ba 3.68
Al (0.0000, 0.0000, 0.5000) (multiplicity 2)  8 Ba 3.35, 4 Rh 3.68
Rh (0.0000, 0.5000, 0.5000) (multiplicity 2)  8 Ba 3.35, 4 Al 3.68



No. 13
Below is a PBEsol-optimized structure of BaAl2RhSe, with properties calculated at the meta-GGA SCAN level.

E_form (uncorrected) = -0.690 eV/atom

Unit cell a=4.6847 b=4.6847 c=5.9889 alpha=90.00 beta=90.00 gamma=90.00
Last column: nearest neighbours and their distance in Å.
Space group P4/mmm (No. 123)
Unique sites:
Ba (0.0000, 0.0000, 0.0000) (multiplicity 1)  2 Rh 2.99, 4 Se 3.31
Al (0.0000, 0.5000, 0.5000) (multiplicity 2)  2 Rh 2.34
Rh (0.0000, 0.0000, 0.5000) (multiplicity 1)  4 Al 2.34
Se (0.5000, 0.5000, 0.0000) (multiplicity 1)  4 Ba 3.31



No. 14
Below is a PBEsol-optimized structure of Ba2AlRu, with properties calculated at the meta-GGA SCAN level.

ΔE_f = 0.03 eV/atom

Unit cell a=3.5304 b=3.5304 c=9.4236 alpha=90.00 beta=90.00 gamma=90.00
Last column: nearest neighbours and their distance in Å.
Space group P4mm (No. 99)
Unique sites:
Ba (0.0000, 0.0000, 0.0000) (multiplicity 1)  1 Ru 2.98
Ba (0.5000, 0.5000, 0.4174) (multiplicity 1)  1 Al 3.15
Al (0.5000, 0.5000, 0.7512) (multiplicity 1)  4 Ru 2.58
Ru (0.0000, 0.0000, 0.6841) (multiplicity 1)  4 Al 2.58



No. 15
Below is a PBEsol-optimized structure of BaAl3Ru, with properties calculated at the meta-GGA SCAN level.

ΔE_f = -0.49 eV/atom

Unit cell a=4.7914 b=4.7914 c=4.7914 alpha=90.00 beta=90.00 gamma=90.00
Last column: nearest neighbours and their distance in Å.
Space group Pm-3m (No. 221)
Unique sites:
Ba (0.0000, 0.0000, 0.0000) (multiplicity 1)  12 Al 3.39
Al (0.0000, 0.5000, 0.5000) (multiplicity 3)  2 Ru 2.40
Ru (0.5000, 0.5000, 0.5000) (multiplicity 1)  6 Al 2.40